SmSc2Al | PBE | optimized geometry

Calculated values
- DFT total energy: -5.326 eV/atom
- DOS at the Fermi energy: 27.2 states/eV/cell
- Crystal system: cubic

Unit cell a=7.248 b=7.248 c=7.248 alpha=90.00 beta=90.00 gamma=90.00
Space group Fm-3m (No. 225)
Inequivalent atoms, fractional coordinates:
Sm 0.000 0.000 0.000 [4 per cell]
Sc 0.250 0.250 0.250 [8 per cell]
Al 0.000 0.000 0.500 [4 per cell]